A plane-wave DFT calculation with GGA-PBE was carried out for a relaxed CsNdIr crystal.

Cell and atoms, written as CIF:
```
data_CsNdIr
_symmetry_space_group_name_H-M 'F -4 3 m'
_symmetry_Int_Tables_number 216
_symmetry_space_group_name_Hall 'F -4 2 3'
_cell_length_a 7.2493
_cell_length_b 7.2493
_cell_length_c 7.2493
_cell_angle_alpha 90.00
_cell_angle_beta 90.00
_cell_angle_gamma 90.00
loop_
_atom_site_label
_atom_site_fract_x
_atom_site_fract_y
_atom_site_fract_z
_atom_site_occupancy
Cs1 0.0000 0.0000 0.0000 1
Nd1 0.0000 0.0000 0.5000 1
Ir1 0.2500 0.2500 0.2500 1
```

Polymorph energy (0 for the lowest one), eV per formula unit: 0.00
VASP energy, eV/atom: -4.414
Spin magnetization, μB per cell: 0.006

A plane-wave DFT calculation with GGA-PBE was carried out for a relaxed CsNdIr crystal.

Cell and atoms, written as CIF:
```
data_CsNdIr
_symmetry_space_group_name_H-M 'F -4 3 m'
_symmetry_Int_Tables_number 216
_symmetry_space_group_name_Hall 'F -4 2 3'
_cell_length_a 7.0678
_cell_length_b 7.0678
_cell_length_c 7.0678
_cell_angle_alpha 90.00
_cell_angle_beta 90.00
_cell_angle_gamma 90.00
loop_
_atom_site_label
_atom_site_fract_x
_atom_site_fract_y
_atom_site_fract_z
_atom_site_occupancy
Cs1 0.0000 0.0000 0.0000 1
Nd1 0.2500 0.2500 0.2500 1
Ir1 0.2500 0.2500 0.7500 1
```

Polymorph energy (0 for the lowest one), eV per formula unit: 2.34
VASP energy, eV/atom: -3.634
Spin magnetization, μB per cell: 0.043

A plane-wave DFT calculation with GGA-PBE was carried out for a relaxed CsNiP2Ir crystal.

Cell and atoms, written as CIF:
```
data_CsNiP2Ir
_symmetry_space_group_name_H-M 'I -4 m 2'
_symmetry_Int_Tables_number 119
_symmetry_space_group_name_Hall 'I -4 -2'
_cell_length_a 3.9396
_cell_length_b 3.9396
_cell_length_c 14.2034
_cell_angle_alpha 90.00
_cell_angle_beta 90.00
_cell_angle_gamma 90.00
loop_
_atom_site_label
_atom_site_fract_x
_atom_site_fract_y
_atom_site_fract_z
_atom_site_occupancy
Cs1 0.0000 0.0000 0.0000 1
Ni1 0.0000 0.5000 0.2500 1
P1 0.0000 0.0000 0.3344 1
Ir1 0.0000 0.5000 0.7500 1
```

VASP energy, eV/atom: -5.764
Spin magnetization, μB per cell: 0.004

A plane-wave DFT calculation with GGA-PBE was carried out for a relaxed CsIrO3 crystal.

Cell and atoms, written as CIF:
```
data_CsIrO3
_symmetry_space_group_name_H-M 'R -3 c'
_symmetry_Int_Tables_number 167
_symmetry_space_group_name_Hall '-R 3 2"c'
_cell_length_a 5.7396
_cell_length_b 5.7396
_cell_length_c 14.0544
_cell_angle_alpha 90.00
_cell_angle_beta 90.00
_cell_angle_gamma 120.00
loop_
_atom_site_label
_atom_site_fract_x
_atom_site_fract_y
_atom_site_fract_z
_atom_site_occupancy
Cs1 0.0000 0.0000 0.2500 1
Ir1 0.0000 0.0000 0.0000 1
O1 0.0000 0.4982 0.2500 1
```

VASP energy, eV/atom: -5.539
Spin magnetization, μB per cell: 6.100